Density functional theory data (PBE) for a relaxed structure of Sm2AgRh.

## Properties
- energy of formation from the pure elements (eV per atom) = -0.439

Cell: 7.7263 7.7263 7.7263 Å, 30.71 30.71 30.71°
Closest atoms and distances in Å follow each position.
Positions (direct):
1 Sm 0.0000 0.0000 0.0000  3 Rh 2.81
2 Sm 0.1932 0.1932 0.1932  3 Rh 2.84
3 Ag 0.7617 0.7617 0.7617  6 Sm 3.16-3.21
4 Rh 0.5977 0.5977 0.5977  6 Sm 2.81-2.84